No. 1
VASP calculation (GGA-PBE) on a relaxed NpSc5N6 crystal.

a b c (Å): 5.599 5.607 5.615
angles (deg): 60.05 80.50 70.70
Site moments in Bohr magnetons follow the coordinates.
Positions (direct):
N (0.251, 0.916, 0.669)  -0.05
N (0.251, 0.585, 0.331)  -0.05
N (0.749, 0.415, 0.669)  -0.05
N (0.245, 0.247, 0.000)  -0.05
N (0.755, 0.753, 0.000)  -0.05
N (0.749, 0.084, 0.331)  -0.05
Sc (0.500, 0.830, 0.341)  0.06
Sc (0.500, 0.170, 0.659)  0.06
Sc (0.500, 0.500, 0.000)  0.07
Sc (0.000, 0.334, 0.333)  0.06
Sc (0.000, 0.666, 0.667)  0.06
Np (0.000, 0.000, 0.000)  2.42



No. 2
VASP calculation (GGA-PBE) on a relaxed NpScN2 crystal.

a b c (Å): 3.259 3.259 6.039
angles (deg): 74.35 74.35 60.00
Site moments in Bohr magnetons follow the coordinates.
Positions (direct):
N (0.087, 0.087, 0.738)  -0.08
N (0.251, 0.251, 0.247)  -0.11
Sc (0.493, 0.493, 0.520)  -0.02
Np (0.668, 0.668, 0.995)  2.69



No. 3
VASP calculation (GGA-PBE) on a relaxed NpSc2N crystal.

a b c (Å): 3.138 3.138 8.628
angles (deg): 79.52 79.52 60.00
Site moments in Bohr magnetons follow the coordinates.
Positions (direct):
Sc (0.217, 0.217, 0.349)  0.12
Sc (0.783, 0.783, 0.651)  0.12
N (0.500, 0.500, 0.500)  0.01
Np (0.000, 0.000, 0.000)  3.65



Going through the records in order, we get uncorrected energy values of -9.644 -10.159 -9.199 eV/atom.